Below is Dy8Tl2Ge after structural relaxation, with properties calculated at the GGA-PBE level.

abc: 9.8665 9.8665 6.7367
angles: 102.85 102.85 29.88
Last column: nearest neighbours and their distance in Å.
Element x y z (fractional)
Dy1 0.0200 0.0200 0.2713  2 Ge 3.04, 1 Tl 3.14, 1 Dy 3.34
Dy2 0.2108 0.2108 0.8171  3 Tl 3.12-3.35, 2 Dy 3.40
Dy3 0.3488 0.3488 0.5131  1 Ge 2.90, 3 Tl 3.12-3.23
Dy4 0.4113 0.4113 0.0442  1 Ge 3.15, 3 Dy 3.41-3.50, 2 Tl 3.49
Dy5 0.5887 0.5887 0.9558  1 Ge 3.15, 3 Dy 3.41-3.50, 2 Tl 3.49
Dy6 0.6512 0.6512 0.4869  1 Ge 2.90, 3 Tl 3.12-3.23
Dy7 0.7892 0.7892 0.1829  3 Tl 3.12-3.35, 2 Dy 3.40
Dy8 0.9800 0.9800 0.7287  2 Ge 3.04, 1 Tl 3.14, 1 Dy 3.34
Tl1 0.1835 0.1835 0.2563  9 Dy 3.12-3.49
Tl2 0.8165 0.8165 0.7437  9 Dy 3.12-3.49
Ge1 0.5000 0.5000 0.5000  8 Dy 2.90-3.15

Output
DFT formation energy: -265 kJ/mol of formula units



Below is BeSbOsO6 after structural relaxation, with properties calculated at the GGA-PBE level.

abc: 4.8924 4.8924 8.8372
angles: 90.00 90.00 120.00
Last column: nearest neighbours and their distance in Å.
Element x y z (fractional)
Be1 0.3333 0.6667 0.2500  6 O 1.86
Be2 0.6667 0.3333 0.7500  6 O 1.86
Sb1 0.0000 0.0000 0.0000  6 O 2.07
Sb2 0.0000 0.0000 0.5000  6 O 2.07
Os1 0.3333 0.6667 0.7500  6 O 1.96
Os2 0.6667 0.3333 0.2500  6 O 1.96
O1 0.0158 0.3567 0.1319  1 Be 1.86, 1 Os 1.96, 1 Sb 2.07
O2 0.0158 0.6591 0.3681  1 Be 1.86, 1 Os 1.96, 1 Sb 2.07
O3 0.3409 0.3567 0.3681  1 Be 1.86, 1 Os 1.96, 1 Sb 2.07
O4 0.3409 0.9842 0.1319  1 Be 1.86, 1 Os 1.96, 1 Sb 2.07
O5 0.3567 0.0158 0.6319  1 Be 1.86, 1 Os 1.96, 1 Sb 2.07
O6 0.3567 0.3409 0.8681  1 Be 1.86, 1 Os 1.96, 1 Sb 2.07
O7 0.6433 0.6591 0.1319  1 Be 1.86, 1 Os 1.96, 1 Sb 2.07
O8 0.6433 0.9842 0.3681  1 Be 1.86, 1 Os 1.96, 1 Sb 2.07
O9 0.6591 0.0158 0.8681  1 Be 1.86, 1 Os 1.96, 1 Sb 2.07
O10 0.6591 0.6433 0.6319  1 Be 1.86, 1 Os 1.96, 1 Sb 2.07
O11 0.9842 0.3409 0.6319  1 Be 1.86, 1 Os 1.96, 1 Sb 2.07
O12 0.9842 0.6433 0.8681  1 Be 1.86, 1 Os 1.96, 1 Sb 2.07

Output
E_form (uncorrected): -1.31 eV per atom



Below is CaBeRe2 after structural relaxation, with properties calculated at the GGA-PBE level.

abc: 4.3967 4.3967 6.0637
angles: 96.32 96.32 38.34
Last column: nearest neighbours and their distance in Å.
Element x y z (fractional)
Ca1 0.0000 0.0000 0.0000  2 Ca 2.89, 3 Be 2.95-3.14, 3 Re 3.06-3.23
Be1 0.2353 0.2353 0.6716  5 Re 2.44-2.58
Re1 0.5133 0.5133 0.5196  3 Re 2.43-2.62, 3 Be 2.44-2.58
Re2 0.7653 0.7653 0.3534  3 Re 2.43-2.62, 2 Be 2.45

Output
DFT formation energy: 167 kJ/mol of formula units



Below is Cs2PHI6 after structural relaxation, with properties calculated at the GGA-PBE level.

abc: 8.5058 8.5058 8.5058
angles: 126.47 126.47 79.12
Last column: nearest neighbours and their distance in Å.
Element x y z (fractional)
Cs1 0.2500 0.7500 0.5000  12 I 3.86-4.25
Cs2 0.7500 0.2500 0.5000  12 I 3.86-4.25
P1 0.0000 0.0000 0.0000  6 I 2.81
H1 0.5000 0.5000 0.0000  4 I 2.61
I1 0.2139 0.2139 0.0000  1 P 2.81
I2 0.2595 0.2595 0.5191  1 H 2.61, 1 P 2.81
I3 0.2595 0.7405 0.0000  1 H 2.61, 1 P 2.81
I4 0.7405 0.2595 0.0000  1 H 2.61, 1 P 2.81
I5 0.7405 0.7405 0.4809  1 H 2.61, 1 P 2.81
I6 0.7861 0.7861 0.0000  1 P 2.81

Output
VASP energy: -2.414 eV/atom



Below is HfCrCd3 after structural relaxation, with properties calculated at the GGA-PBE level.

abc: 5.5325 5.5325 5.5325
angles: 90.00 90.00 90.00
Last column: nearest neighbours and their distance in Å.
Element x y z (fractional)
Hf1 0.0000 0.0000 0.0000  6 Cd 2.77
Cr1 0.5000 0.5000 0.5000  12 Cd 3.91
Cd1 0.0000 0.0000 0.5000  2 Hf 2.77
Cd2 0.0000 0.5000 0.0000  2 Hf 2.77
Cd3 0.5000 0.0000 0.0000  2 Hf 2.77

Output
distance to the lowest polymorph of the same formula: 147 meV/atom
DFT formation energy: 625 kJ/mol of formula units



Below is DyScRuRh after structural relaxation, with properties calculated at the GGA-PBE level.

abc: 4.6891 4.6891 4.6891
angles: 60.00 60.00 60.00
Last column: nearest neighbours and their distance in Å.
Element x y z (fractional)
Dy1 0.0000 0.0000 0.0000  4 Ru 2.87, 4 Rh 2.87
Sc1 0.5000 0.5000 0.5000  4 Ru 2.87, 4 Rh 2.87
Ru1 0.7500 0.7500 0.7500  4 Dy 2.87, 4 Sc 2.87
Rh1 0.2500 0.2500 0.2500  4 Dy 2.87, 4 Sc 2.87

Output
DFT formation energy: -269 kJ/mol of formula units



The following size of the total moment values (in Bohr magnetons per cell) correspond, in order, to the records above: 0.0; 4.0; 0.0; 0.0; 3.8; 0.0.
The following volume values (in A^3/atom) correspond, in order, to the records above: 28.9; 10.2; 18.1; 38.5; 33.9; 18.2.